Density functional theory data (PBE) for a geometry-optimized TcCl3 structure.

The structure in CIF format:
```
data_TcCl3
_cell_length_a 10.2987
_cell_length_b 10.2987
_cell_length_c 23.0427
_cell_angle_alpha 90.00
_cell_angle_beta 90.00
_cell_angle_gamma 120.00
_space_group_name_H-M_alt 'R -3 m'
_space_group_IT_number 166
_space_group_name_Hall '-R 3 2"'
loop_
_atom_site_label
_atom_site_fract_x
_atom_site_fract_y
_atom_site_fract_z
Tc1 0.0788 0.1576 0.2801
Cl1 0.0219 0.5110 0.3854
Cl2 0.1032 0.2065 0.1843
Cl3 0.1056 0.2112 0.3818
```

Values from the calculation:
- Magnetization: 0.00 Bohr magnetons per cell
- Density: 2.89 g/cm3
- Energy above the most stable polymorph in this dataset: 0 meV/atom
- Formation energy from raw total energies: -712 meV per atom
- Uncorrected energy: -337.588 eV per cell